Record 1
## InIr3 (PBE)

Data for InIr3 after structural relaxation.

The structure in extended XYZ format:
```
8
Lattice="-1.603 0.794 4.233 3.719 -2.454 1.869 3.058 4.826 0.252" Properties=species:S:1:pos:R:3 pbc="T T T"
Ir 4.055 0.746 1.395
Ir 4.626 1.953 3.880
Ir 1.353 0.823 0.358
Ir 0.392 -0.390 2.716
Ir 2.878 3.229 0.484
Ir 3.093 -0.467 3.753
In 2.000 1.970 2.882
In 2.446 -1.614 1.229
```

Properties
Crystal system = orthorhombic
Energy of formation = 0.554 eV/f.u.



Record 2
## Si2TeSe (PBE)

Data for Si2TeSe after structural relaxation.

The structure in extended XYZ format:
```
4
Lattice="-1.857 1.818 3.044 -3.209 -1.684 1.698 2.160 -3.045 5.756" Properties=species:S:1:pos:R:3 pbc="T T T"
Se -0.727 -0.728 2.624
Si -1.515 -1.405 5.179
Si -5.004 0.083 4.811
Te -2.180 -2.183 7.873
```

Properties
Crystal system = monoclinic
ΔE_f (raw) = 0.161 eV/atom



Record 3
## Nd2MnAlPt6 (PBE)

Data for Nd2MnAlPt6 after structural relaxation.

The structure in extended XYZ format:
```
10
Lattice="-1.527 8.125 -1.390 -3.983 -1.394 -3.766 -6.267 5.559 0.325" Properties=species:S:1:pos:R:3 pbc="T T T"
Pt -7.257 7.801 -3.702
Pt -4.143 5.074 -3.858
Pt -7.634 7.217 -0.973
Pt -4.520 4.490 -1.128
Pt -2.160 5.768 -1.983
Pt -9.617 6.523 -2.848
Al 0.000 0.000 0.000
Mn -2.755 3.366 -2.578
Nd -5.727 9.451 -1.685
Nd -6.050 2.840 -3.146
```

Properties
Crystal system = trigonal
Energy of formation = -7.338 eV/f.u.



Record 4
## Ta2Nb2Ga (PBE)

Data for Ta2Nb2Ga after structural relaxation.

The structure in extended XYZ format:
```
10
Lattice="-1.294 -2.741 4.523 4.923 -4.908 -1.566 2.475 5.083 0.511" Properties=species:S:1:pos:R:3 pbc="T T T"
Ta 4.549 -4.906 0.649
Ta 1.710 -3.251 2.752
Ta 1.555 2.339 2.819
Ta 4.394 0.685 0.716
Nb 1.575 1.026 0.331
Nb 3.744 -2.049 0.571
Nb 2.360 -0.518 2.896
Nb 4.529 -3.592 3.137
Ga 2.627 -5.938 2.549
Ga 1.002 -1.711 0.407
```

Properties
Crystal system = monoclinic
Energy of formation = -0.074 eV/f.u.



| no. | total moment (μB/cell) |
| --- | --- |
| 1 | 0.0 |
| 2 | 0.0 |
| 3 | 4.0 |
| 4 | 0.0 |